[1]
Ca4AsS3 | GGA-PBE | relaxed

Cell: 5.7945 5.7945 5.7945 Å, 90.00 90.00 90.00°
With the nearest neighbours (Å) after each atom.
Atoms (fractional coordinates):
Ca (0.0000, 0.0000, 0.5000)  4 S 2.90, 2 As 2.90
S (0.0000, 0.5000, 0.5000)  6 Ca 2.90
Ca (0.0000, 0.5000, 0.0000)  4 S 2.90, 2 As 2.90
Ca (0.5000, 0.5000, 0.5000)  6 S 2.90
S (0.5000, 0.5000, 0.0000)  6 Ca 2.90
S (0.5000, 0.0000, 0.5000)  6 Ca 2.90
Ca (0.5000, 0.0000, 0.0000)  4 S 2.90, 2 As 2.90
As (0.0000, 0.0000, 0.0000)  6 Ca 2.90

Summary:
* symmetry: Pm-3m
* V: 24.3 Å³ per atom
* formation energy (no corrections): -14.01 eV per formula unit
* M_tot: 0.002 μB per formula unit
* total energy: -4.8808 eV/atom

[2]
LaAlRu2 | GGA-PBE | relaxed

Cell: 3.2729 3.2729 6.6290 Å, 90.00 90.00 90.03°
With the nearest neighbours (Å) after each atom.
Atoms (fractional coordinates):
Al (0.5000, 0.5000, 0.2500)  8 Ru 2.69
Ru (0.0000, 0.0000, 0.4581)  4 Al 2.69, 1 Ru 2.76, 2 La 3.02
Ru (0.0000, 0.0000, 0.0419)  4 Al 2.69, 1 Ru 2.76, 2 La 3.02
La (0.5000, 0.5000, 0.7500)  8 Ru 3.02, 4 La 3.27, 2 Al 3.31

Summary:
* symmetry: P4/mmm
* V: 17.8 Å³ per atom
* M_tot: 0.000 μB per formula unit
* energy of formation from the pure elements: -185 meV per atom
* total energy: -6.9903 eV/atom

Question: Look up the total energy of the second one.
Answer: -6.9903 eV/atom